1.
A plane-wave DFT calculation with PBE was carried out for PmCdW after structural relaxation.

Lattice parameters (Å, degrees): 4.933 4.933 4.933 60.00 60.00 60.00
Positions (direct):
W (0.750, 0.750, 0.750)
Cd (0.250, 0.250, 0.250)
Pm (0.000, 0.000, 0.000)

Output
**Calculated formation energy**: 1.481 eV/atom
**Space-group type**: F-43m, No. 216
**Electronic total energy**: -4.719 eV per atom
**Total magnetization**: 3.0 μB per cell



2.
A plane-wave DFT calculation with PBE was carried out for Pm2ZnCd after structural relaxation.

Lattice parameters (Å, degrees): 3.702 3.702 7.587 90.00 90.00 90.00
Positions (direct):
Cd (0.000, 0.000, 0.500)
Pm (0.500, 0.500, 0.230)
Pm (0.500, 0.500, 0.770)
Zn (0.000, 0.000, 0.000)

Output
**Calculated formation energy**: -0.334 eV/atom
**Space-group type**: P4/mmm, No. 123
**Electronic total energy**: -3.247 eV per atom
**Total magnetization**: 0.0 μB per cell



3.
A plane-wave DFT calculation with PBE was carried out for PmZnCd after structural relaxation.

Lattice parameters (Å, degrees): 4.754 4.754 4.754 60.00 60.00 60.00
Positions (direct):
Zn (0.000, 0.000, 0.000)
Cd (0.250, 0.250, 0.250)
Pm (0.750, 0.750, 0.750)

Output
**Calculated formation energy**: -0.209 eV/atom
**Space-group type**: F-43m, No. 216
**Electronic total energy**: -2.511 eV per atom
**Total magnetization**: 0.0 μB per cell



4.
A plane-wave DFT calculation with PBE was carried out for PmZnCd after structural relaxation.

Lattice parameters (Å, degrees): 4.931 4.931 4.931 60.00 60.00 60.00
Positions (direct):
Zn (0.000, 0.000, 0.000)
Cd (0.500, 0.500, 0.500)
Pm (0.250, 0.250, 0.250)

Output
**Calculated formation energy**: 0.155 eV/atom
**Space-group type**: F-43m, No. 216
**Electronic total energy**: -2.147 eV per atom
**Total magnetization**: 0.0 μB per cell



5.
A plane-wave DFT calculation with PBE was carried out for PrCd after structural relaxation.

Lattice parameters (Å, degrees): 3.519 3.519 5.373 90.00 90.00 120.00
Positions (direct):
Pr (0.333, 0.667, 0.250)
Cd (0.667, 0.333, 0.750)

Output
**Calculated formation energy**: -0.110 eV/atom
**Space-group type**: P-6m2, No. 187
**Electronic total energy**: -2.945 eV per atom
**Total magnetization**: 0.0 μB per cell



6.
A plane-wave DFT calculation with PBE was carried out for PrCd after structural relaxation.

Lattice parameters (Å, degrees): 3.856 3.856 3.856 90.00 90.00 90.00
Last column: magnetic moment on the atom in μB.
Positions (direct):
Cd (0.000, 0.000, 0.000)  0.01
Pr (0.500, 0.500, 0.500)  0.16

Output
**Calculated formation energy**: -0.329 eV/atom
**Space-group type**: Pm-3m, No. 221
**Electronic total energy**: -3.164 eV per atom
**Total magnetization**: 0.4 μB per cell